No. 1
Compound: Cs3LaNb
Source: the Alexandria database
Functional: GGA-PBE
Structure: optimized geometry

Cell and atoms, written as POSCAR:
```
Cs3LaNb
1.0
7.058 0.000 0.000
0.000 7.058 0.000
0.000 0.000 7.058
Cs La Nb
3 1 1
Direct
0.000 0.000 0.500
0.000 0.500 0.000
0.500 0.000 0.000
0.000 0.000 0.000
0.500 0.500 0.500
```

Properties
Volume: 70.3 Å³/atom
Energy of formation: 169.4 kJ per mole of atoms
DFT total energy: -1.756 eV/atom


No. 2
Compound: CsLa3Nb
Source: the Alexandria database
Functional: GGA-PBE
Structure: optimized geometry

Cell and atoms, written as POSCAR:
```
CsLa3Nb
1.0
5.868 0.000 0.000
0.000 5.868 0.000
0.000 0.000 5.868
Cs La Nb
1 3 1
Direct
0.000 0.000 0.000
0.000 0.500 0.500
0.500 0.000 0.500
0.500 0.500 0.000
0.500 0.500 0.500
```

Properties
Volume: 40.4 Å³/atom
Energy of formation: 48.1 kJ per mole of atoms
DFT total energy: -4.643 eV/atom